No. 1
The following is a GGA-PBE calculation of crystalline Pu2Zn16Ru at its relaxed geometry, from Alexandria via LeMat-Bulk.

```
data_Pu2Zn16Ru
_chemical_formula_sum 'Pu6 Zn48 Ru3'
_cell_length_a 9.0376
_cell_length_b 9.0376
_cell_length_c 13.0453
_cell_angle_alpha 90.00
_cell_angle_beta 90.00
_cell_angle_gamma 120.00
_space_group_name_H-M_alt 'R 3 m'
_space_group_IT_number 160
_space_group_name_Hall 'R 3 -2"'
loop_
_atom_site_label
_atom_site_type_symbol
_atom_site_fract_x
_atom_site_fract_y
_atom_site_fract_z
Pu1 Pu 0.0000 0.0000 0.0000
Pu2 Pu 0.0000 0.0000 0.3359
Zn1 Zn 0.0000 0.0000 0.5772
Zn2 Zn 0.9998 0.2876 0.6794
Zn3 Zn 0.0127 0.5063 0.8255
Zn4 Zn 0.1676 0.3353 0.8614
Zn5 Zn 0.1679 0.3358 0.5115
Ru1 Ru 0.0000 0.0000 0.7835
```

Results
Volume = 922.8 Å³ per cell
Energy of formation = -12.5 kJ/mol of atoms

No. 2
The following is a GGA-PBE calculation of crystalline CaAcScSn at its relaxed geometry, from Alexandria via LeMat-Bulk.

```
data_CaAcScSn
_chemical_formula_sum 'Ca4 Ac4 Sc4 Sn4'
_cell_length_a 7.812
_cell_length_b 7.812
_cell_length_c 7.812
_cell_angle_alpha 90.00
_cell_angle_beta 90.00
_cell_angle_gamma 90.00
_space_group_name_H-M_alt 'F -4 3 m'
_space_group_IT_number 216
_space_group_name_Hall 'F -4 2 3'
loop_
_atom_site_label
_atom_site_type_symbol
_atom_site_fract_x
_atom_site_fract_y
_atom_site_fract_z
Ca1 Ca 0.000 0.000 0.000
Ac1 Ac 0.250 0.250 0.750
Sc1 Sc 0.000 0.000 0.500
Sn1 Sn 0.250 0.250 0.250
```

Results
Volume = 476.8 Å³ per cell
Energy of formation = -9.0 kJ/mol of atoms

No. 3
The following is a GGA-PBE calculation of crystalline La2PrTh3Se6 at its relaxed geometry, from Alexandria via LeMat-Bulk.

```
data_La2PrTh3Se6
_chemical_formula_sum 'La4 Pr2 Th6 Se12'
_cell_length_a 18.608
_cell_length_b 4.256
_cell_length_c 8.482
_cell_angle_alpha 90.00
_cell_angle_beta 104.36
_cell_angle_gamma 90.00
_space_group_name_H-M_alt 'C 1 2/m 1'
_space_group_IT_number 12
loop_
_space_group_symop_operation_xyz
'x,y,z'
'-x,-y,-z'
'-x,y,-z'
'x,-y,z'
'x+1/2,y+1/2,z'
'-x+1/2,-y+1/2,-z'
'-x+1/2,y+1/2,-z'
'x+1/2,-y+1/2,z'
loop_
_atom_site_label
_atom_site_type_symbol
_atom_site_fract_x
_atom_site_fract_y
_atom_site_fract_z
La1 La 0.166 0.000 0.333
Pr1 Pr 0.000 0.500 0.000
Th1 Th 0.000 0.500 0.500
Th2 Th 0.167 0.000 0.833
Se1 Se 0.001 0.000 0.749
Se2 Se 0.166 0.500 0.586
Se3 Se 0.167 0.500 0.080
```

Results
Raw formation energy = -1.733 eV per atom
Volume = 650.7 Å³ per cell

No. 4
The following is a GGA-PBE calculation of crystalline SmDyRh at its relaxed geometry, from Alexandria via LeMat-Bulk.

```
data_SmDyRh
_chemical_formula_sum 'Sm2 Dy2 Rh2'
_cell_length_a 5.740
_cell_length_b 4.513
_cell_length_c 6.540
_cell_angle_alpha 90.00
_cell_angle_beta 106.52
_cell_angle_gamma 90.00
_space_group_name_H-M_alt 'P 1 21/m 1'
_space_group_IT_number 11
loop_
_space_group_symop_operation_xyz
'x,y,z'
'-x,-y,-z'
'-x,y+1/2,-z'
'x,-y+1/2,z'
loop_
_atom_site_label
_atom_site_type_symbol
_atom_site_fract_x
_atom_site_fract_y
_atom_site_fract_z
Sm1 Sm 0.072 0.250 0.287
Dy1 Dy 0.475 0.250 0.801
Rh1 Rh 0.342 0.750 0.555
```

Results
Volume = 162.4 Å³ per cell
Energy of formation = -52.2 kJ/mol of atoms

No. 5
The following is a GGA-PBE calculation of crystalline Ac3In3Sn2 at its relaxed geometry, from Alexandria via LeMat-Bulk.

```
data_Ac3In3Sn2
_chemical_formula_sum 'Ac12 In12 Sn8'
_cell_length_a 4.852
_cell_length_b 12.569
_cell_length_c 17.018
_cell_angle_alpha 90.00
_cell_angle_beta 90.00
_cell_angle_gamma 90.00
_space_group_name_H-M_alt 'C m c m'
_space_group_IT_number 63
_space_group_name_Hall '-C 2c 2'
loop_
_atom_site_label
_atom_site_type_symbol
_atom_site_fract_x
_atom_site_fract_y
_atom_site_fract_z
Ac1 Ac 0.000 0.055 0.111
Ac2 Ac 0.000 0.333 0.250
In1 In 0.000 0.371 0.036
In2 In 0.000 0.396 0.750
Sn1 Sn 0.000 0.233 0.614
```

Results
Volume = 1037.8 Å³ per cell
Energy of formation = -49.6 kJ/mol of atoms

No. 6
The following is a GGA-PBE calculation of crystalline Sm8Hg2Sb at its relaxed geometry, from Alexandria via LeMat-Bulk.

```
data_Sm8Hg2Sb
_chemical_formula_sum 'Sm16 Hg4 Sb2'
_cell_length_a 18.875
_cell_length_b 5.215
_cell_length_c 7.115
_cell_angle_alpha 90.00
_cell_angle_beta 100.11
_cell_angle_gamma 90.00
_space_group_name_H-M_alt 'C 1 2/m 1'
_space_group_IT_number 12
loop_
_space_group_symop_operation_xyz
'x,y,z'
'-x,-y,-z'
'-x,y,-z'
'x,-y,z'
'x+1/2,y+1/2,z'
'-x+1/2,-y+1/2,-z'
'-x+1/2,y+1/2,-z'
'x+1/2,-y+1/2,z'
loop_
_atom_site_label
_atom_site_type_symbol
_atom_site_fract_x
_atom_site_fract_y
_atom_site_fract_z
Sm1 Sm 0.027 0.000 0.254
Sm2 Sm 0.090 0.500 0.950
Sm3 Sm 0.164 0.500 0.469
Sm4 Sm 0.203 0.000 0.821
Hg1 Hg 0.191 0.000 0.240
Sb1 Sb 0.000 0.500 0.500
```

Results
Raw formation energy = -0.316 eV per atom
Volume = 689.5 Å³ per cell

No. 7
The following is a GGA-PBE calculation of crystalline RbTaI4 at its relaxed geometry, from Alexandria via LeMat-Bulk.

```
data_RbTaI4
_chemical_formula_sum 'Rb4 Ta4 I16'
_cell_length_a 17.427
_cell_length_b 7.989
_cell_length_c 7.357
_cell_angle_alpha 90.00
_cell_angle_beta 105.68
_cell_angle_gamma 90.00
_space_group_name_H-M_alt 'C 1 2/m 1'
_space_group_IT_number 12
loop_
_space_group_symop_operation_xyz
'x,y,z'
'-x,-y,-z'
'-x,y,-z'
'x,-y,z'
'x+1/2,y+1/2,z'
'-x+1/2,-y+1/2,-z'
'-x+1/2,y+1/2,-z'
'x+1/2,-y+1/2,z'
loop_
_atom_site_label
_atom_site_type_symbol
_atom_site_fract_x
_atom_site_fract_y
_atom_site_fract_z
Rb1 Rb 0.194 0.000 0.224
Ta1 Ta 0.024 0.500 0.326
I1 I 0.000 0.268 0.000
I2 I 0.102 0.276 0.624
I3 I 0.188 0.500 0.262
```

Results
Raw formation energy = -0.623 eV per atom
Volume = 986.2 Å³ per cell

No. 8
The following is a GGA-PBE calculation of crystalline Hf3MnIr at its relaxed geometry, from Alexandria via LeMat-Bulk.

```
data_Hf3MnIr
_chemical_formula_sum 'Hf3 Mn1 Ir1'
_cell_length_a 4.653
_cell_length_b 4.653
_cell_length_c 4.653
_cell_angle_alpha 90.00
_cell_angle_beta 90.00
_cell_angle_gamma 90.00
_space_group_name_H-M_alt 'P m -3 m'
_space_group_IT_number 221
_space_group_name_Hall '-P 4 2 3'
loop_
_atom_site_label
_atom_site_type_symbol
_atom_site_fract_x
_atom_site_fract_y
_atom_site_fract_z
Hf1 Hf 0.000 0.000 0.500
Mn1 Mn 0.000 0.000 0.000
Ir1 Ir 0.500 0.500 0.500
```

Results
Volume = 100.7 Å³ per cell
Energy of formation = 38.2 kJ/mol of atoms

| no. | size of the total moment (μB per cell) |
| --- | --- |
| 1 | 32.8 |
| 2 | 9.1 |
| 3 | 0.0 |
| 4 | 0.0 |
| 5 | 0.0 |
| 6 | 0.0 |
| 7 | 4.0 |
| 8 | 0.0 |